1.
An optimized crystal structure of LiTlSn. Source: Alexandria via LeMat-Bulk, functional PBE.

Unit cell a=10.704 b=4.252 c=7.099 alpha=90.00 beta=110.72 gamma=90.00
Fractional coordinates of all 12 atoms:
Li  0.000  0.000  0.000
Li  0.000  0.000  0.500
Li  0.500  0.500  0.000
Li  0.500  0.500  0.500
Tl  0.152  0.500  0.326
Tl  0.348  0.000  0.674
Tl  0.652  0.000  0.326
Tl  0.848  0.500  0.674
Sn  0.176  0.500  0.844
Sn  0.324  0.000  0.156
Sn  0.676  0.000  0.844
Sn  0.824  0.500  0.156

Output
E: -2.909 eV/atom
crystal system: monoclinic
space group: No. 12

2.
An optimized crystal structure of LiTlSn. Source: Alexandria via LeMat-Bulk, functional PBE.

Unit cell a=3.485 b=6.032 c=7.647 alpha=97.73 beta=102.20 gamma=106.75
Fractional coordinates of all 6 atoms:
Li  0.034  0.394  0.178
Li  0.966  0.606  0.822
Tl  0.259  0.161  0.849
Tl  0.741  0.839  0.151
Sn  0.409  0.751  0.545
Sn  0.591  0.249  0.455

Output
E: -2.891 eV/atom
crystal system: triclinic
space group: No. 2

Formation energy for the records above, in order: -0.148; -0.130 eV per atom